(1)
# PBE LaPaBe, optimized geometry
# final energy	-5.5148	eV/atom
# energy above the most stable polymorph in this dataset	0.0000	eV per atom
data_LaPaBe
_cell_length_a 6.628
_cell_length_b 6.628
_cell_length_c 6.628
_cell_angle_alpha 90.00
_cell_angle_beta 90.00
_cell_angle_gamma 90.00
_symmetry_space_group_name_H-M 'F -4 3 m'
_symmetry_Int_Tables_number 216
_symmetry_space_group_name_Hall 'F -4 2 3'
loop_
_atom_site_label
_atom_site_fract_x
_atom_site_fract_y
_atom_site_fract_z
La1 0.000 0.000 0.000
Pa1 0.000 0.000 0.500
Be1 0.250 0.250 0.250

---

(2)
# PBE LaBePd, optimized geometry
# final energy	-4.1558	eV/atom
# energy above the most stable polymorph in this dataset	0.5457	eV per atom
data_LaBePd
_cell_length_a 6.752
_cell_length_b 6.752
_cell_length_c 6.752
_cell_angle_alpha 90.00
_cell_angle_beta 90.00
_cell_angle_gamma 90.00
_symmetry_space_group_name_H-M 'F -4 3 m'
_symmetry_Int_Tables_number 216
_symmetry_space_group_name_Hall 'F -4 2 3'
loop_
_atom_site_label
_atom_site_fract_x
_atom_site_fract_y
_atom_site_fract_z
La1 0.000 0.000 0.000
Be1 0.250 0.250 0.750
Pd1 0.250 0.250 0.250

---

(3)
# PBE LaBePd, optimized geometry
# final energy	-4.7015	eV/atom
# energy above the most stable polymorph in this dataset	0.0000	eV per atom
data_LaBePd
_cell_length_a 6.544
_cell_length_b 6.544
_cell_length_c 6.544
_cell_angle_alpha 90.00
_cell_angle_beta 90.00
_cell_angle_gamma 90.00
_symmetry_space_group_name_H-M 'F -4 3 m'
_symmetry_Int_Tables_number 216
_symmetry_space_group_name_Hall 'F -4 2 3'
loop_
_atom_site_label
_atom_site_fract_x
_atom_site_fract_y
_atom_site_fract_z
La1 0.000 0.000 0.000
Be1 0.000 0.000 0.500
Pd1 0.250 0.250 0.750